# RbAlO2, relaxed, DFT PBE-GGA
data_RbAlO2
_chemical_formula_sum 'Rb4 Al4 O8'
_space_group_name_H-M_alt 'P n m a'
_space_group_IT_number 62
_cell_length_a 5.752
_cell_length_b 4.296
_cell_length_c 8.962
_cell_angle_alpha 90.00
_cell_angle_beta 90.00
_cell_angle_gamma 90.00
loop_
_space_group_symop_operation_xyz
'x,y,z'
'-x,-y,-z'
'-x+1/2,-y,z+1/2'
'x+1/2,y,-z+1/2'
'x+1/2,-y+1/2,-z+1/2'
'-x+1/2,y+1/2,z+1/2'
'-x,y+1/2,-z'
'x,-y+1/2,z'
loop_
_atom_site_label
_atom_site_type_symbol
_atom_site_fract_x
_atom_site_fract_y
_atom_site_fract_z
Rb1 Rb 0.001 0.250 0.124
Al1 Al 0.000 0.250 0.624
O1 O 0.001 0.250 0.423
O2 O 0.249 0.250 0.750
# Energy relative to the elements, uncorrected in eV per atom: -2.259

First-principles (PBE-GGA) data for crystalline CsTaRu3 at its relaxed geometry, as listed in Alexandria.

The structure in CIF format:
```
data_CsTaRu3
_chemical_formula_sum 'Cs1 Ta1 Ru3'
_space_group_name_H-M_alt 'P m -3 m'
_space_group_IT_number 221
_space_group_name_Hall '-P 4 2 3'
_cell_length_a 4.789
_cell_length_b 4.789
_cell_length_c 4.789
_cell_angle_alpha 90.00
_cell_angle_beta 90.00
_cell_angle_gamma 90.00
loop_
_atom_site_label
_atom_site_type_symbol
_atom_site_fract_x
_atom_site_fract_y
_atom_site_fract_z
Cs1 Cs 0.000 0.000 0.000
Ta1 Ta 0.500 0.500 0.500
Ru1 Ru 0.000 0.000 0.500
```

First-principles (PBE-GGA) data for crystalline Tl2CdIn2Hg5 at its relaxed geometry, as listed in Alexandria.

The structure in CIF format:
```
data_Tl2CdIn2Hg5
_chemical_formula_sum 'Tl4 Cd2 In4 Hg10'
_space_group_name_H-M_alt 'P 4/m b m'
_space_group_IT_number 127
_space_group_name_Hall '-P 4 2ab'
_cell_length_a 11.890
_cell_length_b 11.890
_cell_length_c 3.953
_cell_angle_alpha 90.00
_cell_angle_beta 90.00
_cell_angle_gamma 90.00
loop_
_atom_site_label
_atom_site_type_symbol
_atom_site_fract_x
_atom_site_fract_y
_atom_site_fract_z
Tl1 Tl 0.167 0.333 0.000
Cd1 Cd 0.000 0.000 0.000
In1 In 0.143 0.643 0.000
Hg1 Hg 0.000 0.500 0.500
Hg2 Hg 0.026 0.805 0.500
```

First-principles (PBE-GGA) data for crystalline DyErMgSc at its relaxed geometry, as listed in Alexandria.

The structure in CIF format:
```
data_DyErMgSc
_chemical_formula_sum 'Dy1 Er1 Mg1 Sc1'
_space_group_name_H-M_alt 'P 4 m m'
_space_group_IT_number 99
_cell_length_a 3.458
_cell_length_b 3.458
_cell_length_c 9.153
_cell_angle_alpha 90.00
_cell_angle_beta 90.00
_cell_angle_gamma 90.00
loop_
_space_group_symop_operation_xyz
'x,y,z'
'-y,x,z'
'-x,-y,z'
'y,-x,z'
'-x,y,z'
'y,x,z'
'x,-y,z'
'-y,-x,z'
loop_
_atom_site_label
_atom_site_type_symbol
_atom_site_fract_x
_atom_site_fract_y
_atom_site_fract_z
Dy1 Dy 0.000 0.000 0.000
Er1 Er 0.500 0.500 0.727
Mg1 Mg 0.500 0.500 0.253
Sc1 Sc 0.000 0.000 0.475
```

First-principles (PBE-GGA) data for crystalline HgPd2Ru at its relaxed geometry, as listed in Alexandria.

The structure in CIF format:
```
data_HgPd2Ru
_chemical_formula_sum 'Hg4 Pd8 Ru4'
_space_group_name_H-M_alt 'I -4 2 d'
_space_group_IT_number 122
_space_group_name_Hall 'I -4 2bw'
_cell_length_a 7.292
_cell_length_b 7.292
_cell_length_c 5.536
_cell_angle_alpha 90.00
_cell_angle_beta 90.00
_cell_angle_gamma 90.00
loop_
_atom_site_label
_atom_site_type_symbol
_atom_site_fract_x
_atom_site_fract_y
_atom_site_fract_z
Hg1 Hg 0.000 0.000 0.000
Pd1 Pd 0.231 0.250 0.625
Ru1 Ru 0.000 0.000 0.500
```

# ScPaAgS4, relaxed, DFT PBE-GGA
data_ScPaAgS4
_chemical_formula_sum 'Sc4 Pa4 Ag4 S16'
_space_group_name_H-M_alt 'I m m a'
_space_group_IT_number 74
_space_group_name_Hall '-I 2b 2'
_cell_length_a 7.605
_cell_length_b 8.098
_cell_length_c 10.873
_cell_angle_alpha 90.00
_cell_angle_beta 90.00
_cell_angle_gamma 90.00
loop_
_atom_site_label
_atom_site_type_symbol
_atom_site_fract_x
_atom_site_fract_y
_atom_site_fract_z
Sc1 Sc 0.250 0.250 0.250
Pa1 Pa 0.000 0.000 0.000
Ag1 Ag 0.000 0.250 0.644
S1 S 0.000 0.029 0.247
S2 S 0.238 0.250 0.010
# Energy relative to the elements, uncorrected in eV per atom: -1.390

no.,VASP energy (eV per atom),magnetic moment (μB/cell)
1,-5.92,0.0
2,-5.10,0.0
3,-1.25,0.0
4,-4.28,0.0
5,-4.40,9.9
6,-6.42,4.1